[1]
Cd2CoHgC | PBE | relaxed

The structure belongs to space group P4/mmm (No. 123); the cell edges are 5.012, 5.012 and 4.909 Å and the angles 90.00°, 90.00° and 90.00°. The distinct sites, in fractional coordinates, are Cd at (0.000, 0.500, 0.000), Co at (0.000, 0.000, 0.000), Hg at (0.000, 0.000, 0.500) and C at (0.500, 0.500, 0.500).

The calculation puts the mass density at 6.684 g/cm³. The total magnetization comes out at 2.862 μB/f.u. As for the density of states at the Fermi level: 1.199 states/eV per atom. The calculated total energy is -2.0016 eV per atom. The energy of formation from the pure elements is 1.69 eV per atom.


[2]
CdInCo2C | PBE | relaxed

The structure belongs to space group P4/mmm (No. 123); the cell edges are 4.785, 4.785 and 5.214 Å and the angles 90.00°, 90.00° and 90.00°. The distinct sites, in fractional coordinates, are Cd at (0.000, 0.000, 0.000), In at (0.000, 0.000, 0.500), Co at (0.000, 0.500, 0.000) and C at (0.500, 0.500, 0.500).

The calculation puts the mass density at 4.968 g/cm³. The total magnetization comes out at 4.003 μB/f.u. As for the density of states at the Fermi level: 1.590 states/eV per atom. The calculated total energy is -2.8478 eV per atom. The energy of formation from the pure elements is 2.57 eV per atom.